(1)
Here is crystalline Li2MgAl3 at its relaxed geometry from Alexandria via LeMat-Bulk. Energies are from PBE.

abc: 5.283 5.283 8.354
angles: 99.22 99.22 97.08
Element x y z (fractional)
1 Li 0.660 0.095 0.380
2 Li 0.905 0.340 0.120
3 Li 0.095 0.660 0.880
4 Li 0.340 0.905 0.620
5 Al 0.462 0.538 0.250
6 Al 0.538 0.462 0.750
7 Al 0.803 0.626 0.529
8 Al 0.626 0.803 0.029
9 Al 0.197 0.374 0.471
10 Al 0.374 0.197 0.971
11 Mg 0.108 0.892 0.250
12 Mg 0.892 0.108 0.750

Computed properties:
The volume comes out at 18.71 Å³ per atom. The uncorrected energy comes out at -33.72 eV per cell.

***

(2)
Here is crystalline SrCdSn2 at its relaxed geometry from Alexandria via LeMat-Bulk. Energies are from PBE.

abc: 4.751 4.866 4.866
angles: 90.00 90.00 90.00
Element x y z (fractional)
1 Sn 0.000 0.500 0.000
2 Sn 0.000 0.000 0.500
3 Sr 0.500 0.500 0.500
4 Cd 0.500 0.000 0.000

Computed properties:
The volume comes out at 28.13 Å³ per atom. The uncorrected energy comes out at -12.02 eV per cell.

***

(3)
Here is crystalline RbSnHgBr6 at its relaxed geometry from Alexandria via LeMat-Bulk. Energies are from PBE.

abc: 7.394 7.394 15.135
angles: 90.00 90.00 120.00
Element x y z (fractional)
1 Br 0.624 0.004 0.359
2 Br 0.996 0.620 0.359
3 Br 0.004 0.624 0.859
4 Br 0.620 0.996 0.859
5 Br 0.620 0.624 0.641
6 Br 0.376 0.996 0.641
7 Br 0.380 0.004 0.141
8 Br 0.376 0.380 0.859
9 Br 0.004 0.380 0.641
10 Br 0.624 0.620 0.141
11 Br 0.996 0.376 0.141
12 Br 0.380 0.376 0.359
13 Sn 0.667 0.333 0.250
14 Sn 0.333 0.667 0.750
15 Hg 0.667 0.333 0.750
16 Hg 0.333 0.667 0.250
17 Rb 0.000 0.000 0.500
18 Rb 0.000 0.000 0.000

Computed properties:
As for the formation energy (no corrections): -0.803 eV/atom. The volume comes out at 39.81 Å³ per atom.

***

(4)
Here is crystalline ZrMnI6 at its relaxed geometry from Alexandria via LeMat-Bulk. Energies are from PBE.

abc: 7.149 7.152 7.980
angles: 63.38 81.13 69.88
Element x y z (fractional)
1 I 0.254 0.890 0.715
2 I 0.242 0.243 0.000
3 I 0.746 0.395 0.715
4 I 0.254 0.605 0.285
5 I 0.758 0.757 0.000
6 I 0.746 0.110 0.285
7 Mn 0.500 0.500 0.000
8 Zr 0.000 0.000 0.000

Computed properties:
As for the formation energy (no corrections): -0.665 eV/atom. The volume comes out at 42.81 Å³ per atom.